No. 1
Compound: CoSn3S
Source: the Alexandria database
Functional: GGA-PBE
Structure: relaxed

The structure in POSCAR format:
```
CoSn3S
1.0
4.8876 0.0000 0.0000
0.0000 4.8876 0.0000
0.0000 0.0000 4.8876
S Co Sn
1 1 3
Cartesian
2.4438 2.4438 2.4438 S
0.0000 0.0000 0.0000 Co
0.0000 2.4438 0.0000 Sn
0.0000 0.0000 2.4438 Sn
2.4438 0.0000 0.0000 Sn
```

Summary:
Magnetic moment, μB/f.u.: 0.00
Raw formation energy, kJ/mol of atoms: -3.01
Energy above the most stable polymorph in this dataset, meV per atom: 0

=====

No. 2
Compound: InHgSe
Source: the Alexandria database
Functional: GGA-PBE
Structure: relaxed

The structure in POSCAR format:
```
InHgSe
1.0
4.9676 0.0000 0.0000
2.4838 4.3021 0.0000
2.4838 1.4340 4.0560
Hg In Se
1 1 1
Cartesian
4.9676 2.8681 2.0280 Hg
7.4514 4.3021 3.0420 In
0.0000 0.0000 0.0000 Se
```

Summary:
Magnetic moment, μB/f.u.: 0.00
Raw formation energy, kJ/mol of atoms: -5.24
Energy above the most stable polymorph in this dataset, meV per atom: 144

=====

No. 3
Compound: LaB2Rh3
Source: the Alexandria database
Functional: GGA-PBE
Structure: relaxed

The structure in POSCAR format:
```
LaB2Rh3
1.0
-2.9569 -1.0217 -4.4593
4.1377 -3.4050 -1.9635
-2.7992 -4.1116 2.7981
La B Rh
2 4 6
Cartesian
-0.2674 -2.9047 -0.8207 La
-1.3509 -5.6336 -2.8041 La
1.2522 -4.0592 -3.2273 B
2.7307 -3.5484 -0.9977 B
-1.3921 -3.9683 1.8323 B
-2.8706 -4.4791 -0.3974 B
-0.3242 -3.0223 -4.0832 Rh
-3.2545 -3.3207 -2.0717 Rh
-1.2942 -5.5161 0.4584 Rh
-2.1597 -1.0919 -3.3083 Rh
0.5413 -7.4464 -0.3164 Rh
1.6362 -5.2176 -1.5530 Rh
```

Summary:
Magnetic moment, μB/f.u.: 0.00
Energy above the most stable polymorph in this dataset, meV per atom: 195
ΔH_f (0 K), eV per atom: -0.470

=====

No. 4
Compound: KP2Pd2
Source: the Alexandria database
Functional: GGA-PBE
Structure: relaxed

The structure in POSCAR format:
```
KP2Pd2
1.0
7.9192 0.0000 0.0000
0.0000 7.9192 0.0000
0.0000 0.0000 2.8943
P K Pd
4 2 4
Cartesian
1.1091 5.0687 1.4471 P
5.0687 6.8101 1.4471 P
6.8101 2.8505 1.4471 P
2.8505 1.1091 1.4471 P
0.0000 0.0000 0.0000 K
3.9596 3.9596 0.0000 K
2.9661 6.9257 0.0000 Pd
6.9257 4.9531 0.0000 Pd
4.9531 0.9935 0.0000 Pd
0.9935 2.9661 0.0000 Pd
```

Summary:
Magnetic moment, μB/f.u.: 0.00
ΔH_f (0 K), eV per atom: -0.127

=====

No. 5
Compound: PaCu3I6Br2
Source: the Alexandria database
Functional: GGA-PBE
Structure: relaxed

The structure in POSCAR format:
```
PaCu3I6Br2
1.0
-0.7150 -6.5898 3.6124
8.0371 -1.1728 -0.5486
-2.9064 6.0742 4.8351
Pa Cu I Br
1 3 6 2
Cartesian
-0.3575 -3.2949 1.8062 Pa
4.0185 -0.5864 -0.2743 Cu
2.2078 -0.8442 3.9495 Cu
-1.8107 -0.2578 4.2238 Cu
1.7575 -4.0119 3.6914 I
2.6581 2.3236 4.2075 I
4.3039 -1.3662 5.5733 I
0.1117 -0.3222 2.3256 I
-1.3029 2.9015 4.4779 I
5.7185 -4.5899 3.4210 I
4.1372 -0.8408 2.0084 Br
0.2784 -0.8476 5.8905 Br
```

Summary:
Magnetic moment, μB/f.u.: 0.09
Raw formation energy, kJ/mol of atoms: -46.88

=====

No. 6
Compound: Hf2FeSi
Source: the Alexandria database
Functional: GGA-PBE
Structure: relaxed

The structure in POSCAR format:
```
Hf2FeSi
1.0
5.2513 0.0000 0.0016
0.0000 7.6158 0.0000
-2.4335 0.0000 6.7025
Si Hf Fe
4 8 4
Cartesian
-0.3860 5.6867 3.0983 Si
-0.3860 1.9292 3.0983 Si
-1.6027 1.8788 6.4496 Si
-1.6027 5.7371 6.4496 Si
2.1994 5.6198 2.1443 Hf
2.1994 1.9960 2.1443 Hf
0.9827 1.8119 5.4955 Hf
0.9827 5.8039 5.4955 Hf
3.5381 0.0000 4.4881 Hf
4.7548 3.8079 1.1368 Hf
4.7719 0.0000 1.1920 Hf
3.5551 3.8079 4.5433 Hf
1.0810 0.0000 3.4684 Fe
2.2978 3.8079 0.1171 Fe
2.2061 0.0000 0.4207 Fe
0.9894 3.8079 3.7719 Fe
```

Summary:
Magnetic moment, μB/f.u.: 0.00
Raw formation energy, kJ/mol of atoms: -55.08

=====

No. 7
Compound: ZrCoH3
Source: the Alexandria database
Functional: GGA-PBE
Structure: relaxed

The structure in POSCAR format:
```
ZrCoH3
1.0
-1.3026 -2.1058 2.7640
3.1589 0.5120 1.8787
-1.4475 3.0123 1.6128
H Co Zr
3 1 1
Cartesian
1.5795 0.2560 0.9394 H
-0.7237 1.5062 0.8064 H
-0.6513 -1.0529 1.3820 H
0.2045 0.7093 3.1278 Co
0.0000 0.0000 0.0000 Zr
```

Summary:
Magnetic moment, μB/f.u.: 1.90
Calculated total energy, eV/atom: -4.808

=====

No. 8
Compound: AcPrEr
Source: the Alexandria database
Functional: GGA-PBE
Structure: relaxed

The structure in POSCAR format:
```
AcPrEr
1.0
3.6878 -0.0002 -0.0505
0.0002 5.6497 -0.0102
-1.7041 0.0197 10.7750
Ac Pr Er
2 2 2
Cartesian
-0.7951 1.4303 9.7688 Ac
2.7790 4.2389 0.9455 Ac
0.9593 1.4181 3.0544 Pr
1.0246 4.2511 7.6600 Pr
-0.8364 1.4238 6.2229 Er
2.8203 4.2454 4.4914 Er
```

Summary:
Magnetic moment, μB/f.u.: 0.00
Energy above the most stable polymorph in this dataset, meV per atom: 0
ΔH_f (0 K), eV per atom: 0.049

=====

No. 9
Compound: Li2CdOs
Source: the Alexandria database
Functional: GGA-PBE
Structure: relaxed

The structure in POSCAR format:
```
Li2CdOs
1.0
2.6601 0.0000 0.0000
0.0000 2.6601 0.0000
0.0000 0.0000 8.8968
Cd Li Os
1 2 1
Cartesian
1.3300 1.3300 6.6726 Cd
0.0000 0.0000 0.2009 Li
0.0000 0.0000 4.2476 Li
1.3300 1.3300 2.2242 Os
```

Summary:
Magnetic moment, μB/f.u.: 0.18
ΔH_f (0 K), eV per atom: 0.191

=====

No. 10
Compound: CaTcPbO6
Source: the Alexandria database
Functional: GGA-PBE
Structure: relaxed

The structure in POSCAR format:
```
CaTcPbO6
1.0
-0.2818 5.3449 -1.4794
0.0983 1.4026 -5.3717
-4.7359 -0.2950 -0.1634
Ca Tc Pb O
1 1 1 6
Cartesian
-2.4903 4.3508 -4.6491 Ca
-2.4291 2.1017 -2.3654 Tc
-5.0176 5.0497 -1.6428 Pb
-1.2671 0.6564 -1.9021 O
-3.5389 1.6300 -0.8826 O
-3.5919 3.5503 -2.8153 O
-3.4040 0.9220 -3.5106 O
-1.3183 2.5597 -3.8517 O
-1.4543 3.2908 -1.2301 O
```

Summary:
Magnetic moment, μB/f.u.: 0.00
Raw formation energy, kJ/mol of atoms: -143.86

=====

No. 11
Compound: HfCr2MoC
Source: the Alexandria database
Functional: GGA-PBE
Structure: relaxed

The structure in POSCAR format:
```
HfCr2MoC
1.0
-2.7754 -1.2316 -2.4276
-2.1707 -1.8780 3.4345
-1.9635 3.3068 0.5672
Cr Mo Hf C
2 1 1 1
Cartesian
-0.9818 1.6534 0.2836 Cr
-1.3877 -0.6158 -1.2138 Cr
-3.4548 0.0986 0.7870 Mo
-1.0854 -0.9390 1.7172 Hf
0.0000 0.0000 0.0000 C
```

Summary:
Magnetic moment, μB/f.u.: 0.00
ΔH_f (0 K), eV per atom: 0.084

=====

No. 12
Compound: Li3BiTe
Source: the Alexandria database
Functional: GGA-PBE
Structure: relaxed

The structure in POSCAR format:
```
Li3BiTe
1.0
-3.7480 -3.2528 1.5748
-1.4356 -0.7421 -4.9494
3.3165 -3.9971 -0.3627
Te Bi Li
1 1 3
Cartesian
-0.9335 -3.9960 -1.8686 Te
0.0000 0.0000 0.0000 Bi
-0.7178 -0.3710 -2.4747 Li
1.6583 -1.9986 -0.1814 Li
-1.8740 -1.6264 0.7874 Li
```

Summary:
Magnetic moment, μB/f.u.: 0.00
Raw formation energy, kJ/mol of atoms: -11.60

=====

No. 13
Compound: Tb2PrErAg4
Source: the Alexandria database
Functional: GGA-PBE
Structure: relaxed

The structure in POSCAR format:
```
Tb2PrErAg4
1.0
5.1875 0.0000 0.0000
2.5938 4.4925 0.0000
2.5938 1.4975 8.5321
Tb Pr Er Ag
2 1 1 4
Cartesian
7.7813 4.4925 6.3608 Tb
2.5938 1.4975 2.1713 Tb
0.0000 0.0000 0.0000 Pr
5.1875 2.9950 4.2661 Er
5.1875 2.9950 7.3455 Ag
7.7813 4.4925 3.2656 Ag
2.5938 1.4975 5.2666 Ag
5.1875 2.9950 1.1866 Ag
```

Summary:
Magnetic moment, μB/f.u.: 0.00
ΔH_f (0 K), eV per atom: -0.294

=====

No. 14
Compound: CaGaPd2
Source: the Alexandria database
Functional: GGA-PBE
Structure: relaxed

The structure in POSCAR format:
```
CaGaPd2
1.0
4.7796 0.0000 0.0000
0.0000 4.7796 0.0000
2.3898 2.3898 8.3823
Ca Ga Pd
2 2 4
Cartesian
2.3898 2.3898 0.0000 Ca
2.3898 4.7796 4.1911 Ca
0.0000 0.0000 0.0000 Ga
4.7796 2.3898 4.1911 Ga
4.2427 1.1949 2.0956 Pd
5.3166 3.5847 2.0956 Pd
3.5847 2.9268 6.2867 Pd
5.9745 1.8528 6.2867 Pd
```

Summary:
Magnetic moment, μB/f.u.: 0.00
ΔH_f (0 K), eV per atom: -0.358